No. 1
Here is a relaxed NaNpTe crystal from the Alexandria database. Energies are from PBE.

Results
- E_form (uncorrected) (meV per atom) = -482
- spin magnetization (μB per formula unit) = 1.25

a = 3.8982 Å, b = 3.6505 Å, c = 11.8143 Å
α = 90.00°, β = 96.24°, γ = 90.00°
Space group P2_1/m (No. 11)
One atom of each set of equivalent atoms:
Na (0.2125, 0.2500, 0.3734) [2 per cell]
Np (0.1510, 0.2500, 0.0512) [2 per cell]
Te (0.3306, 0.2500, 0.8002) [2 per cell]



No. 2
Here is a relaxed Na2Np2Te5 crystal from the Alexandria database. Energies are from PBE.

Results
- E_form (uncorrected) (meV per atom) = -714
- spin magnetization (μB per formula unit) = 6.11
- energy above the most stable polymorph in this dataset (meV/atom) = 0.0

a = 16.0611 Å, b = 8.2699 Å, c = 8.3227 Å
α = 90.00°, β = 90.00°, γ = 90.00°
Space group Cmce (No. 64)
One atom of each set of equivalent atoms:
Na (0.2021, 0.0000, 0.0000) [8 per cell]
Np (0.0000, 0.1502, 0.3488) [8 per cell]
Te (0.0000, 0.0000, 0.0000) [4 per cell]
Te (0.1271, 0.1518, 0.6500) [16 per cell]



No. 3
Here is a relaxed Na2ThNpTe4 crystal from the Alexandria database. Energies are from PBE.

Results
- E_form (uncorrected) (meV per atom) = -965
- spin magnetization (μB per formula unit) = 4.87

a = 7.7390 Å, b = 4.4577 Å, c = 8.0642 Å
α = 90.00°, β = 108.59°, γ = 90.00°
Space group P2/m (No. 10)
One atom of each set of equivalent atoms:
Na (0.0000, 0.0000, 0.0000) [1 per cell]
Na (0.5000, 0.5000, 0.0000) [1 per cell]
Th (0.0000, 0.5000, 0.5000) [1 per cell]
Np (0.5000, 0.0000, 0.5000) [1 per cell]
Te (0.2473, 0.0000, 0.7426) [2 per cell]
Te (0.2534, 0.5000, 0.2617) [2 per cell]